Arrangement w

A plane-wave DFT calculation with PBE was carried out for a relaxed ScAg2P crystal.

The structure in POSCAR format:
```
ScAg2P
1.0
-4.310 1.370 -2.748
1.870 -4.927 -0.482
-1.764 -0.896 2.320
Sc Ag P
1 2 1
Cartesian
-2.102 -2.227 -0.455 Sc
-2.155 0.685 -1.374 Ag
0.935 -2.463 -0.241 Ag
-0.882 -0.448 1.160 P
```

## Properties
SG: Cmmm (65)

Arrangement x

A plane-wave DFT calculation with PBE was carried out for a relaxed ScAg2P crystal.

The structure in POSCAR format:
```
ScAg2P
1.0
1.144 2.860 5.586
-2.765 2.981 4.916
-1.087 -0.347 6.276
Sc Ag P
1 2 1
Cartesian
-2.087 4.234 12.931 Sc
-2.693 5.464 16.687 Ag
-0.634 1.287 3.931 Ag
-1.361 2.761 8.434 P
```

## Properties
SG: R3m (160)

Arrangement y

A plane-wave DFT calculation with PBE was carried out for a relaxed ScAg2P crystal.

The structure in POSCAR format:
```
ScAg2P
1.0
8.918 -1.562 -0.048
8.918 1.562 -0.048
8.659 0.000 2.645
Sc Ag P
1 2 1
Cartesian
0.000 0.000 0.000 Sc
20.023 0.000 1.926 Ag
6.472 0.000 0.623 Ag
13.248 0.000 1.274 P
```

## Properties
SG: R-3m (166)

Tell me which of them is the least stable. Sure, it is arrangement y.

Arrangement w

A plane-wave DFT calculation with PBE was carried out for a relaxed ScAg2P crystal.

The structure in POSCAR format:
```
ScAg2P
1.0
1.817 6.121 0.159
-1.817 6.121 0.159
0.000 0.404 3.607
Sc Ag P
1 2 1
Cartesian
0.000 6.323 1.962 Sc
0.000 9.861 1.089 Ag
0.000 2.785 2.835 Ag
0.000 0.000 0.000 P
```

## Properties
SG: C2/m (12)

Arrangement x

A plane-wave DFT calculation with PBE was carried out for a relaxed ScAg2P crystal.

The structure in POSCAR format:
```
ScAg2P
1.0
3.833 0.000 0.000
0.000 3.833 0.000
0.000 0.000 4.933
Sc Ag P
1 2 1
Cartesian
0.000 0.000 2.466 Sc
0.000 1.916 0.000 Ag
1.916 0.000 0.000 Ag
1.916 1.916 2.466 P
```

## Properties
SG: P4/mmm (123)

Tell me which of them is the least stable. Sure, it is arrangement x.

Arrangement w

A plane-wave DFT calculation with PBE was carried out for a relaxed ScAg2P crystal.

The structure in POSCAR format:
```
ScAg2P
1.0
-2.282 -4.033 -1.327
-2.875 -0.319 3.856
0.452 3.560 -3.218
Sc Ag P
1 2 1
Cartesian
-2.647 0.408 1.023 Sc
-5.134 -4.333 2.518 Ag
-2.052 -1.197 -1.715 Ag
-2.606 -2.199 1.278 P
```

## Properties
SG: Imm2 (44)

Arrangement x

A plane-wave DFT calculation with PBE was carried out for a relaxed ScAg2P crystal.

The structure in POSCAR format:
```
ScAg2P
1.0
3.573 0.000 0.000
0.000 3.573 0.000
0.000 0.000 6.199
Sc Ag P
1 2 1
Cartesian
1.786 1.786 4.298 Sc
0.000 0.000 0.053 Ag
1.786 1.786 1.294 Ag
0.000 0.000 3.653 P
```

## Properties
SG: P4mm (99)

Tell me which of them is the least stable. Sure, it is arrangement w.

Arrangement w

A plane-wave DFT calculation with PBE was carried out for a relaxed ScAg2P2 crystal.

The structure in POSCAR format:
```
ScAg2P2
1.0
-2.062 2.291 2.280
-2.442 0.667 -2.879
-5.611 -3.283 1.446
Sc P Ag
1 2 2
Cartesian
0.000 0.000 0.000 Sc
-2.883 0.584 0.028 P
-7.232 -0.909 0.818 P
-4.963 0.243 1.713 Ag
-5.152 -0.569 -0.867 Ag
```

## Properties
SG: I4/mmm (139)

Arrangement x

A plane-wave DFT calculation with PBE was carried out for a relaxed ScAg2P2 crystal.

The structure in POSCAR format:
```
ScAg2P2
1.0
-6.422 -2.571 1.182
-0.148 -2.622 -6.508
1.489 -3.151 1.236
Sc P Ag
2 4 4
Cartesian
0.000 0.000 0.000 Sc
-3.285 -2.597 -2.663 Sc
-2.299 -3.070 -5.058 P
-5.484 -3.891 -3.312 P
-4.271 -2.123 -0.268 P
-1.086 -1.303 -2.014 P
-0.273 -3.633 -3.401 Ag
-3.516 -5.476 -4.194 Ag
-4.807 -4.712 -0.689 Ag
-1.565 -2.868 0.104 Ag
```

## Properties
SG: P4/mbm (127)

Tell me which of them is the least stable. Sure, it is arrangement x.

Arrangement w

A plane-wave DFT calculation with PBE was carried out for a relaxed ScAg3P crystal.

The structure in POSCAR format:
```
ScAg3P
1.0
-1.816 -4.063 -2.428
3.008 -2.998 2.768
-3.655 -0.449 3.485
Sc P Ag
1 1 3
Cartesian
0.000 0.000 0.000 Sc
-1.231 -3.756 1.913 P
1.504 -1.499 1.384 Ag
-1.827 -0.225 1.742 Ag
-0.908 -2.032 -1.214 Ag
```

## Properties
SG: Pm-3m (221)

Arrangement x

A plane-wave DFT calculation with PBE was carried out for a relaxed ScAg3P crystal.

The structure in POSCAR format:
```
ScAg3P
1.0
-2.305 3.476 2.256
-3.644 -2.929 0.790
1.973 -1.350 4.095
Sc P Ag
1 1 3
Cartesian
-1.988 -0.402 3.571 Sc
0.000 0.000 0.000 P
-1.822 -1.465 0.395 Ag
0.986 -0.675 2.048 Ag
-1.152 1.738 1.128 Ag
```

## Properties
SG: Pm-3m (221)

Tell me which of them is the least stable. Sure, it is arrangement w.

Arrangement w

A plane-wave DFT calculation with PBE was carried out for a relaxed Ag2PSe crystal.

The structure in POSCAR format:
```
Ag2PSe
1.0
-1.805 2.348 4.385
1.805 -2.348 4.385
1.805 2.348 -4.385
Ag P Se
2 1 1
Cartesian
0.000 0.000 6.697 Ag
0.000 0.000 2.073 Ag
1.805 0.000 0.000 P
0.000 2.348 0.000 Se
```

## Properties
SG: Immm (71)

Arrangement x

A plane-wave DFT calculation with PBE was carried out for a relaxed Ag2PSe crystal.

The structure in POSCAR format:
```
Ag2PSe
1.0
-0.833 2.779 -0.034
-2.902 -0.891 -1.700
-3.551 -0.983 6.576
Ag P Se
2 1 1
Cartesian
-2.797 -0.775 5.181 Ag
-0.754 -0.209 1.396 Ag
-1.868 0.944 -0.867 P
-3.226 -0.937 2.438 Se
```

## Properties
SG: Pmmm (47)

Tell me which of them is the least stable. Sure, it is arrangement w.